(1)
An optimized crystal structure of TbHg2Bi. Source: Alexandria, functional GGA-PBE.

Cell and atoms, written as CIF:
```
data_TbHg2Bi
_symmetry_space_group_name_H-M 'R -3 m'
_symmetry_Int_Tables_number 166
_symmetry_space_group_name_Hall '-R 3 2"'
_cell_length_a 3.4701
_cell_length_b 3.4701
_cell_length_c 34.9715
_cell_angle_alpha 90.00
_cell_angle_beta 90.00
_cell_angle_gamma 120.00
loop_
_atom_site_label
_atom_site_type_symbol
_atom_site_fract_x
_atom_site_fract_y
_atom_site_fract_z
Tb1 Tb 0.0000 0.0000 0.0000
Hg1 Hg 0.0000 0.0000 0.0868
Bi1 Bi 0.0000 0.0000 0.5000
```

Calculated values
Total magnetization in Bohr magnetons per cell: 0.00
DFT total energy in eV/cell: -26.119
N(E_F) in states/eV per cell: 6.747
Calculated formation energy in meV/atom: 102

***

(2)
An optimized crystal structure of Ca2NdCuO5. Source: Alexandria, functional GGA-PBE.

Cell and atoms, written as CIF:
```
data_Ca2NdCuO5
_symmetry_space_group_name_H-M 'I 4/m c m'
_symmetry_Int_Tables_number 140
_symmetry_space_group_name_Hall '-I 4 2c'
_cell_length_a 6.362
_cell_length_b 6.362
_cell_length_c 11.352
_cell_angle_alpha 90.00
_cell_angle_beta 90.00
_cell_angle_gamma 90.00
loop_
_atom_site_label
_atom_site_type_symbol
_atom_site_fract_x
_atom_site_fract_y
_atom_site_fract_z
Ca1 Ca 0.167 0.333 0.000
Nd1 Nd 0.000 0.000 0.250
Cu1 Cu 0.000 0.500 0.250
O1 O 0.000 0.000 0.000
O2 O 0.156 0.344 0.358
```

Calculated values
Total magnetization in Bohr magnetons per cell: 8.16
DFT total energy in eV/cell: -230.314
N(E_F) in states/eV per cell: 9.138

***

(3)
An optimized crystal structure of V15Mo2Rh2. Source: Alexandria, functional GGA-PBE.

Cell and atoms, written as CIF:
```
data_V15Mo2Rh2
_symmetry_space_group_name_H-M 'R -3 m'
_symmetry_Int_Tables_number 166
_symmetry_space_group_name_Hall '-R 3 2"'
_cell_length_a 8.5199
_cell_length_b 8.5199
_cell_length_c 13.0919
_cell_angle_alpha 90.00
_cell_angle_beta 90.00
_cell_angle_gamma 120.00
loop_
_atom_site_label
_atom_site_type_symbol
_atom_site_fract_x
_atom_site_fract_y
_atom_site_fract_z
V1 V 0.0000 0.3126 0.0000
V2 V 0.0000 0.5000 0.5000
V3 V 0.0149 0.5075 0.1524
Mo1 Mo 0.0000 0.0000 0.0976
Rh1 Rh 0.0000 0.0000 0.3145
```

Calculated values
Total magnetization in Bohr magnetons per cell: 0.00
DFT total energy in eV/cell: -503.661
N(E_F) in states/eV per cell: 88.974
Calculated formation energy in meV/atom: 277

***

(4)
An optimized crystal structure of ZrNb2TlZn. Source: Alexandria, functional GGA-PBE.

Cell and atoms, written as CIF:
```
data_ZrNb2TlZn
_symmetry_space_group_name_H-M 'P 4/m m m'
_symmetry_Int_Tables_number 123
_symmetry_space_group_name_Hall '-P 4 2'
_cell_length_a 5.142
_cell_length_b 5.142
_cell_length_c 5.278
_cell_angle_alpha 90.00
_cell_angle_beta 90.00
_cell_angle_gamma 90.00
loop_
_atom_site_label
_atom_site_type_symbol
_atom_site_fract_x
_atom_site_fract_y
_atom_site_fract_z
Zr1 Zr 0.000 0.000 0.000
Nb1 Nb 0.000 0.500 0.500
Tl1 Tl 0.000 0.000 0.500
Zn1 Zn 0.500 0.500 0.000
```

Calculated values
Total magnetization in Bohr magnetons per cell: 1.09
DFT total energy in eV/cell: -23.433
N(E_F) in states/eV per cell: 6.647
Calculated formation energy in meV/atom: 1779

***

(5)
An optimized crystal structure of TaPd3S. Source: Alexandria, functional GGA-PBE.

Cell and atoms, written as CIF:
```
data_TaPd3S
_symmetry_space_group_name_H-M 'P m -3 m'
_symmetry_Int_Tables_number 221
_symmetry_space_group_name_Hall '-P 4 2 3'
_cell_length_a 4.849
_cell_length_b 4.849
_cell_length_c 4.849
_cell_angle_alpha 90.00
_cell_angle_beta 90.00
_cell_angle_gamma 90.00
loop_
_atom_site_label
_atom_site_type_symbol
_atom_site_fract_x
_atom_site_fract_y
_atom_site_fract_z
Ta1 Ta 0.000 0.000 0.000
Pd1 Pd 0.000 0.000 0.500
S1 S 0.500 0.500 0.500
```

Calculated values
Total magnetization in Bohr magnetons per cell: 0.00
DFT total energy in eV/cell: -26.022
N(E_F) in states/eV per cell: 4.587

***

(6)
An optimized crystal structure of Zn8GaAu2. Source: Alexandria, functional GGA-PBE.

Cell and atoms, written as CIF:
```
data_Zn8GaAu2
_symmetry_space_group_name_H-M 'C 1 2/m 1'
_symmetry_Int_Tables_number 12
_cell_length_a 13.724
_cell_length_b 3.831
_cell_length_c 6.848
_cell_angle_alpha 90.00
_cell_angle_beta 100.04
_cell_angle_gamma 90.00
loop_
_symmetry_equiv_pos_as_xyz
'x,y,z'
'-x,-y,-z'
'-x,y,-z'
'x,-y,z'
'x+1/2,y+1/2,z'
'-x+1/2,-y+1/2,-z'
'-x+1/2,y+1/2,-z'
'x+1/2,-y+1/2,z'
loop_
_atom_site_label
_atom_site_type_symbol
_atom_site_fract_x
_atom_site_fract_y
_atom_site_fract_z
Zn1 Zn 0.039 0.000 0.222
Zn2 Zn 0.095 0.500 0.975
Zn3 Zn 0.138 0.000 0.709
Zn4 Zn 0.180 0.500 0.424
Ga1 Ga 0.000 0.500 0.500
Au1 Au 0.226 0.000 0.167
```

Calculated values
Total magnetization in Bohr magnetons per cell: 0.00
DFT total energy in eV/cell: -41.081
N(E_F) in states/eV per cell: 6.528
Calculated formation energy in meV/atom: -70

***

(7)
An optimized crystal structure of CeMg2Sc. Source: Alexandria, functional GGA-PBE.

Cell and atoms, written as CIF:
```
data_CeMg2Sc
_symmetry_space_group_name_H-M 'R 3 m'
_symmetry_Int_Tables_number 160
_symmetry_space_group_name_Hall 'R 3 -2"'
_cell_length_a 3.1816
_cell_length_b 3.1816
_cell_length_c 33.7917
_cell_angle_alpha 90.00
_cell_angle_beta 90.00
_cell_angle_gamma 120.00
loop_
_atom_site_label
_atom_site_type_symbol
_atom_site_fract_x
_atom_site_fract_y
_atom_site_fract_z
Ce1 Ce 0.0000 0.0000 0.0000
Mg1 Mg 0.0000 0.0000 0.2452
Mg2 Mg 0.0000 0.0000 0.4199
Sc1 Sc 0.0000 0.0000 0.8321
```

Calculated values
Total magnetization in Bohr magnetons per cell: 1.82
DFT total energy in eV/cell: -45.808
N(E_F) in states/eV per cell: 22.720
Calculated formation energy in meV/atom: 46

***

(8)
An optimized crystal structure of Na2LaGaH. Source: Alexandria, functional GGA-PBE.

Cell and atoms, written as CIF:
```
data_Na2LaGaH
_symmetry_space_group_name_H-M 'P 4/m m m'
_symmetry_Int_Tables_number 123
_symmetry_space_group_name_Hall '-P 4 2'
_cell_length_a 4.627
_cell_length_b 4.627
_cell_length_c 5.205
_cell_angle_alpha 90.00
_cell_angle_beta 90.00
_cell_angle_gamma 90.00
loop_
_atom_site_label
_atom_site_type_symbol
_atom_site_fract_x
_atom_site_fract_y
_atom_site_fract_z
Na1 Na 0.000 0.500 0.000
La1 La 0.000 0.000 0.500
Ga1 Ga 0.500 0.500 0.500
H1 H 0.000 0.000 0.000
```

Calculated values
Total magnetization in Bohr magnetons per cell: 0.00
DFT total energy in eV/cell: -14.798
N(E_F) in states/eV per cell: 4.967

***

(9)
An optimized crystal structure of TlRe2Cl. Source: Alexandria, functional GGA-PBE.

Cell and atoms, written as CIF:
```
data_TlRe2Cl
_symmetry_space_group_name_H-M 'P m m m'
_symmetry_Int_Tables_number 47
_cell_length_a 2.839
_cell_length_b 4.031
_cell_length_c 6.444
_cell_angle_alpha 90.00
_cell_angle_beta 90.00
_cell_angle_gamma 90.00
loop_
_symmetry_equiv_pos_as_xyz
'x,y,z'
'-x,-y,-z'
'-x,-y,z'
'x,y,-z'
'x,-y,-z'
'-x,y,z'
'-x,y,-z'
'x,-y,z'
loop_
_atom_site_label
_atom_site_type_symbol
_atom_site_fract_x
_atom_site_fract_y
_atom_site_fract_z
Tl1 Tl 0.000 0.000 0.000
Re1 Re 0.500 0.500 0.314
Cl1 Cl 0.000 0.000 0.500
```

Calculated values
Total magnetization in Bohr magnetons per cell: 0.00
DFT total energy in eV/cell: -23.264
N(E_F) in states/eV per cell: 2.857

***

(10)
An optimized crystal structure of SmCd2Hg6. Source: Alexandria, functional GGA-PBE.

Cell and atoms, written as CIF:
```
data_SmCd2Hg6
_symmetry_space_group_name_H-M 'I m m m'
_symmetry_Int_Tables_number 71
_symmetry_space_group_name_Hall '-I 2 2'
_cell_length_a 9.499
_cell_length_b 9.662
_cell_length_c 10.289
_cell_angle_alpha 90.00
_cell_angle_beta 90.00
_cell_angle_gamma 90.00
loop_
_atom_site_label
_atom_site_type_symbol
_atom_site_fract_x
_atom_site_fract_y
_atom_site_fract_z
Sm1 Sm 0.000 0.000 0.000
Sm2 Sm 0.000 0.000 0.500
Cd1 Cd 0.000 0.352 0.000
Cd2 Cd 0.000 0.500 0.360
Hg1 Hg 0.000 0.203 0.254
Hg2 Hg 0.217 0.296 0.500
Hg3 Hg 0.242 0.500 0.192
```

Calculated values
Total magnetization in Bohr magnetons per cell: 0.00
DFT total energy in eV/cell: -37.291
N(E_F) in states/eV per cell: 16.737
Calculated formation energy in meV/atom: -107

***

(11)
An optimized crystal structure of NdPa2Ru. Source: Alexandria, functional GGA-PBE.

Cell and atoms, written as CIF:
```
data_NdPa2Ru
_symmetry_space_group_name_H-M 'P 4/m m m'
_symmetry_Int_Tables_number 123
_symmetry_space_group_name_Hall '-P 4 2'
_cell_length_a 3.576
_cell_length_b 3.576
_cell_length_c 7.866
_cell_angle_alpha 90.00
_cell_angle_beta 90.00
_cell_angle_gamma 90.00
loop_
_atom_site_label
_atom_site_type_symbol
_atom_site_fract_x
_atom_site_fract_y
_atom_site_fract_z
Nd1 Nd 0.000 0.000 0.000
Pa1 Pa 0.500 0.500 0.315
Ru1 Ru 0.000 0.000 0.500
```

Calculated values
Total magnetization in Bohr magnetons per cell: 0.00
DFT total energy in eV/cell: -33.231
N(E_F) in states/eV per cell: 7.491
Calculated formation energy in meV/atom: -49

***

(12)
An optimized crystal structure of YTm4Co4. Source: Alexandria, functional GGA-PBE.

Cell and atoms, written as CIF:
```
data_YTm4Co4
_symmetry_space_group_name_H-M 'P 42/n'
_symmetry_Int_Tables_number 86
_cell_length_a 8.366
_cell_length_b 8.366
_cell_length_c 5.474
_cell_angle_alpha 90.00
_cell_angle_beta 90.00
_cell_angle_gamma 90.00
loop_
_symmetry_equiv_pos_as_xyz
'x,y,z'
'-x,-y,-z'
'-y,x+1/2,z+1/2'
'y,-x+1/2,-z+1/2'
'-x+1/2,-y+1/2,z'
'x+1/2,y+1/2,-z'
'y+1/2,-x,z+1/2'
'-y+1/2,x,-z+1/2'
loop_
_atom_site_label
_atom_site_type_symbol
_atom_site_fract_x
_atom_site_fract_y
_atom_site_fract_z
Y1 Y 0.250 0.250 0.250
Tm1 Tm 0.066 0.671 0.132
Co1 Co 0.016 0.611 0.619
```

Calculated values
Total magnetization in Bohr magnetons per cell: 0.00
DFT total energy in eV/cell: -107.027
N(E_F) in states/eV per cell: 10.702
Calculated formation energy in meV/atom: -82